Entry from the Alexandria database: GaPd12Pt7 after structural relaxation (PBE).

The value obtained for the total energy is -5.32 eV/atom. For the size of the total moment, the calculation gives 0.00 Bohr magnetons per cell.

The space group is R-3 (No. 148, hexagonal axes) and the conventional cell measures 9.5595, 9.5595 and 12.2276 Å, with angles of 90.00, 90.00 and 120.00 degrees. The asymmetric unit holds Ga at (0.0000, 0.0000, 0.0000), Pd at (0.0353, 0.4577, 0.7072), Pd at (0.0560, 0.5895, 0.0881), Pt at (0.0000, 0.0000, 0.5000) and Pt at (0.0507, 0.1849, 0.8044).